CuAg4F6: optimized geometry, PBE.

```
22
Lattice="6.828 0.000 0.000 0.000 6.828 0.000 0.000 0.000 6.881" Properties=species:S:1:pos:R:3 pbc="T T T"
Cu 0.000 0.000 0.000
Cu 3.414 3.414 3.441
Ag 1.015 2.399 1.720
Ag 1.015 2.399 5.161
Ag 2.399 5.813 1.720
Ag 2.399 5.813 5.161
Ag 4.429 1.015 1.720
Ag 4.429 1.015 5.161
Ag 5.813 4.429 1.720
Ag 5.813 4.429 5.161
F 0.000 0.000 1.882
F 0.000 0.000 4.999
F 0.746 4.785 0.000
F 1.371 4.161 3.441
F 2.043 0.746 0.000
F 2.668 1.371 3.441
F 3.414 3.414 1.559
F 3.414 3.414 5.322
F 4.161 5.457 3.441
F 4.785 6.082 0.000
F 5.457 2.668 3.441
F 6.082 2.043 0.000
```

Output
Its density of states at the Fermi level is 6.6 states/eV per cell. For the total magnetization, the calculation gives 1.00 μB/f.u. The space group is P4/mnc (128). The energy relative to the elements, uncorrected is -11.791 eV per formula unit.